Record 1
The following is a DFT calculation (PBE) of Hf9InSn2 after structural relaxation.

```
Hf9InSn2
1.0
4.421 0.000 0.000
0.000 4.421 0.000
0.000 0.000 13.326
Hf In Sn
9 1 2
direct
0.000 0.000 0.000
0.000 0.000 0.332
0.000 0.000 0.668
0.000 0.500 0.166
0.000 0.500 0.500
0.000 0.500 0.834
0.500 0.000 0.166
0.500 0.000 0.500
0.500 0.000 0.834
0.500 0.500 0.000
0.500 0.500 0.335
0.500 0.500 0.665
```

Computed properties:
Formation energy from the elements, kcal/mol of atoms: -4.741
E_tot, eV/cell: -102.8
Total magnetization, μB per formula unit: 0.00

Record 2
The following is a DFT calculation (PBE) of Pm2HPbO after structural relaxation.

```
Pm2HPbO
1.0
3.876 0.000 0.000
0.000 3.876 0.000
0.000 0.000 13.686
Pm H Pb O
4 2 2 2
direct
0.000 0.000 0.155
0.000 0.000 0.845
0.500 0.500 0.345
0.500 0.500 0.655
0.000 0.500 0.750
0.500 0.000 0.250
0.000 0.000 0.500
0.500 0.500 0.000
0.000 0.500 0.250
0.500 0.000 0.750
```

Computed properties:
E_tot, eV/cell: -58.8
Total magnetization, μB per formula unit: 0.00